No. 1
Computed, not measured: a geometry-optimized HfBi2Sb2 structure at the PBE level of DFT.

Cell lengths 7.7053, 7.7053, 4.8525 Å; angles 90.00, 90.00, 90.00 degrees
Last column: nearest neighbours and their distance in Å.
Space group P4/mbm (No. 127)
Inequivalent atoms, fractional coordinates:
Hf (0.0000, 0.0000, 0.0000) (multiplicity 2)  4 Sb 2.92
Bi (0.1688, 0.3312, 0.5000) (multiplicity 4)  6 Sb 3.11-3.47
Sb (0.1525, 0.6525, 0.0000) (multiplicity 4)  2 Hf 2.92, 2 Bi 3.11

Results
M_tot ... 0.000 μB per atom
E_form (uncorrected) ... 12 kJ/mol of atoms

***

No. 2
Computed, not measured: a geometry-optimized Ac6Pr8Nd structure at the PBE level of DFT.

Cell lengths 10.3180, 10.3180, 19.4242 Å; angles 90.00, 90.00, 120.00 degrees
Last column: nearest neighbours and their distance in Å.
Space group R-3 (No. 148, hexagonal axes)
Inequivalent atoms, fractional coordinates:
Ac (0.0245, 0.7865, 0.4084) (multiplicity 18)  6 Pr 3.69-3.99, 3 Ac 3.90-4.05
Pr (0.0000, 0.0000, 0.2304) (multiplicity 6)  6 Pr 3.62-3.68, 3 Ac 3.99
Pr (0.0514, 0.7770, 0.9030) (multiplicity 18)  1 Nd 3.22, 1 Pr 3.40
Nd (0.0000, 0.0000, 0.0000) (multiplicity 3)  6 Pr 3.22

Results
M_tot ... 0.000 μB per atom
Energy of formation from the pure elements ... 0.107 eV per atom

***

No. 3
Computed, not measured: a geometry-optimized Ho7Sb2Pt2 structure at the PBE level of DFT.

Cell lengths 3.9818, 15.5831, 9.5824 Å; angles 90.00, 90.00, 90.00 degrees
Last column: nearest neighbours and their distance in Å.
Space group Imm2 (No. 44)
Inequivalent atoms, fractional coordinates:
Ho (0.0000, 0.0000, 0.0000) (multiplicity 2)  3 Sb 3.15
Ho (0.0000, 0.1226, 0.5825) (multiplicity 4)  2 Pt 2.94, 3 Sb 3.09-3.17
Ho (0.0000, 0.3142, 0.3734) (multiplicity 4)  3 Pt 2.86-3.13, 1 Sb 3.15
Ho (0.0000, 0.3575, 0.7312) (multiplicity 4)  2 Pt 2.94, 2 Sb 3.13
Sb (0.0000, 0.0000, 0.3291) (multiplicity 2)  7 Ho 3.09-3.15
Sb (0.0000, 0.5000, 0.2447) (multiplicity 2)  8 Ho 3.15-3.17
Pt (0.0000, 0.2390, 0.0700) (multiplicity 4)  7 Ho 2.86-3.13

Results
M_tot ... 0.001 μB per atom
E_form (uncorrected) ... -88 kJ/mol of atoms
Energy above the most stable polymorph in this dataset ... 0.0 kJ/mol of atoms